(1)
DFT (PBE) results for CuPCl4 after structural relaxation.

abc: 5.806 5.806 5.806
angles: 60.00 60.00 60.00
Sites, in units of the cell vectors:
Cu 0.000 0.000 0.000
P 0.750 0.750 0.750
Cl 0.374 0.374 0.374
Cl 0.374 0.374 0.877
Cl 0.374 0.877 0.374
Cl 0.877 0.374 0.374

symmetry = F-43m, No. 216
Fermi-level density of states = 7.18 states/eV/f.u.
calculated density = 2.8 g cm⁻³
formation energy (no corrections) = 1.164 eV/atom
electronic total energy = -1.651 eV per atom
E above lowest polymorph = 1530 meV per atom

***

(2)
DFT (PBE) results for HoBS4 after structural relaxation.

abc: 5.382 5.382 8.580
angles: 90.00 90.00 80.78
Sites, in units of the cell vectors:
Ho 0.149 0.851 0.750
Ho 0.851 0.149 0.250
B 0.363 0.637 0.250
B 0.637 0.363 0.750
S 0.194 0.806 0.075
S 0.194 0.806 0.425
S 0.291 0.329 0.750
S 0.329 0.291 0.250
S 0.671 0.709 0.750
S 0.709 0.671 0.250
S 0.806 0.194 0.575
S 0.806 0.194 0.925

symmetry = Cmcm, No. 63
Fermi-level density of states = 4.18 states/eV/f.u.
calculated density = 4.1 g cm⁻³
formation energy (no corrections) = -0.737 eV/atom
electronic total energy = -5.365 eV per atom